DFT (PBE) results for an optimized crystal structure of Sr3PdPb.

Computed properties:
Density (g cm⁻³): 4.9
Crystal system: cubic
Magnetic moment (μB per formula unit): 0.0
Raw total energy (eV/atom): -3.18
Energy relative to the lowest polymorph listed for this composition (meV/atom): 0.0

Cell lengths 5.8179, 5.8179, 5.8179 Å; angles 90.00, 90.00, 90.00 degrees
With the nearest neighbours (Å) after each atom.
Atoms (fractional coordinates):
Sr: 0.0000 0.0000 0.5000  2 Pd 2.91
Sr: 0.0000 0.5000 0.0000  2 Pd 2.91
Sr: 0.5000 0.0000 0.0000  2 Pd 2.91
Pd: 0.0000 0.0000 0.0000  6 Sr 2.91
Pb: 0.5000 0.5000 0.5000  12 Sr 4.11

DFT (PBE) results for an optimized crystal structure of Ho4UN4.

Computed properties:
Density (g cm⁻³): 9.2
Crystal system: tetragonal
Formation energy without anion corrections (eV/atom): -0.808
Magnetic moment (μB per formula unit): 2.6
Raw total energy (eV/atom): -7.80
Energy relative to the lowest polymorph listed for this composition (meV/atom): 564.0

Cell lengths 6.7322, 6.7322, 6.7322 Å; angles 130.73, 130.73, 72.24 degrees
With the nearest neighbours (Å) after each atom.
Atoms (fractional coordinates):
Ho: 0.0000 0.5000 0.5000  4 N 2.41
Ho: 0.2153 0.2153 0.0000  4 N 2.38-2.51
Ho: 0.5000 0.0000 0.5000  4 N 2.41
Ho: 0.7847 0.7847 0.0000  4 N 2.38-2.51
U: 0.5000 0.5000 0.0000  4 N 2.26
N: 0.1480 0.6030 0.0000  1 U 2.26, 4 Ho 2.38-2.51
N: 0.3970 0.3970 0.5451  1 U 2.26, 4 Ho 2.38-2.51
N: 0.6030 0.1480 0.0000  1 U 2.26, 4 Ho 2.38-2.51
N: 0.8520 0.8520 0.4549  1 U 2.26, 4 Ho 2.38-2.51

DFT (PBE) results for an optimized crystal structure of Pr2Nd3Dy6Y.

Computed properties:
Density (g cm⁻³): 7.4
Crystal system: monoclinic
Magnetic moment (μB per formula unit): 0.0
Raw total energy (eV/atom): -4.81

Cell lengths 6.2613, 6.2613, 11.9018 Å; angles 95.01, 95.01, 119.99 degrees
With the nearest neighbours (Å) after each atom.
Atoms (fractional coordinates):
Pr: 0.1664 0.8336 0.0000  6 Dy 3.59-3.60, 3 Pr 3.61-3.62, 3 Y 3.61-3.62
Pr: 0.8336 0.1664 0.0000  6 Dy 3.59-3.60, 3 Pr 3.61-3.62, 3 Y 3.61-3.62
Nd: 0.0000 0.0000 0.5000  6 Dy 3.60, 6 Nd 3.61-3.62
Nd: 0.3332 0.6668 0.5000  6 Dy 3.60, 6 Nd 3.61-3.62
Nd: 0.6668 0.3332 0.5000  6 Dy 3.60, 6 Nd 3.61-3.62
Dy: 0.0832 0.4164 0.7501  2 Pr 3.59-3.60, 1 Y 3.60, 3 Nd 3.60, 6 Dy 3.61-3.62
Dy: 0.2506 0.2506 0.2502  3 Nd 3.60, 1 Y 3.60, 2 Pr 3.60, 6 Dy 3.61-3.62
Dy: 0.4164 0.0832 0.7501  2 Pr 3.59-3.60, 1 Y 3.60, 3 Nd 3.60, 6 Dy 3.61-3.62
Dy: 0.5836 0.9168 0.2499  2 Pr 3.59-3.60, 1 Y 3.60, 3 Nd 3.60, 6 Dy 3.61-3.62
Dy: 0.7494 0.7494 0.7498  3 Nd 3.60, 1 Y 3.60, 2 Pr 3.60, 6 Dy 3.61-3.62
Dy: 0.9168 0.5836 0.2499  2 Pr 3.59-3.60, 1 Y 3.60, 3 Nd 3.60, 6 Dy 3.61-3.62
Y: 0.5000 0.5000 0.0000  6 Dy 3.60, 6 Pr 3.61-3.62

DFT (PBE) results for an optimized crystal structure of KRbCu2Ag.

Computed properties:
Density (g cm⁻³): 2.7
Crystal system: tetragonal
Magnetic moment (μB per formula unit): 0.0
Raw total energy (eV/atom): -1.44

Cell lengths 5.8140, 5.8140, 6.4738 Å; angles 90.00, 90.00, 90.00 degrees
With the nearest neighbours (Å) after each atom.
Atoms (fractional coordinates):
K: 0.0000 0.0000 0.0000  2 Rb 3.24
Rb: 0.0000 0.0000 0.5000  4 Cu 2.91, 2 K 3.24
Cu: 0.0000 0.5000 0.5000  2 Rb 2.91
Cu: 0.5000 0.0000 0.5000  2 Rb 2.91
Ag: 0.5000 0.5000 0.0000  4 K 4.11, 8 Cu 4.35

DFT (PBE) results for an optimized crystal structure of Zr6ZnHg2.

Computed properties:
Density (g cm⁻³): 7.6
Crystal system: monoclinic
Magnetic moment (μB per formula unit): 0.0
Raw total energy (eV/atom): -5.63

Cell lengths 8.1526, 8.1526, 4.6731 Å; angles 106.59, 106.59, 48.42 degrees
With the nearest neighbours (Å) after each atom.
Atoms (fractional coordinates):
Zr: 0.0812 0.5982 0.3397  1 Zn 2.78, 3 Hg 2.91-2.92
Zr: 0.2378 0.7622 0.0000  2 Zn 2.83, 2 Hg 2.94
Zr: 0.4018 0.9188 0.6603  1 Zn 2.78, 3 Hg 2.91-2.92
Zr: 0.5982 0.0812 0.3397  1 Zn 2.78, 3 Hg 2.91-2.92
Zr: 0.7622 0.2378 0.0000  2 Zn 2.83, 2 Hg 2.94
Zr: 0.9188 0.4018 0.6603  1 Zn 2.78, 3 Hg 2.91-2.92
Zn: 0.0000 0.0000 0.5000  8 Zr 2.78-2.83
Hg: 0.3327 0.3327 0.8327  8 Zr 2.91-2.94
Hg: 0.6673 0.6673 0.1673  8 Zr 2.91-2.94

DFT (PBE) results for an optimized crystal structure of ZnTe2Pt.

Computed properties:
Density (g cm⁻³): 8.3
Crystal system: orthorhombic
Formation energy without anion corrections (eV/atom): 0.112
Magnetic moment (μB per formula unit): 0.0
Raw total energy (eV/atom): -3.29

Cell lengths 3.8922, 3.8922, 7.9205 Å; angles 90.00, 90.00, 120.69 degrees
With the nearest neighbours (Å) after each atom.
Atoms (fractional coordinates):
Zn: 0.0000 0.0000 0.0000  4 Te 2.89
Te: 0.5000 0.5000 0.2720  2 Pt 2.64, 2 Zn 2.89
Te: 0.5000 0.5000 0.7280  2 Pt 2.64, 2 Zn 2.89
Pt: 0.0000 0.0000 0.5000  4 Te 2.64

DFT (PBE) results for an optimized crystal structure of BeP2W2.

Computed properties:
Density (g cm⁻³): 9.4
Crystal system: tetragonal
Magnetic moment (μB per formula unit): 0.0
Raw total energy (eV/atom): -7.87
Energy relative to the lowest polymorph listed for this composition (meV/atom): 48.1

Cell lengths 5.1389, 5.1389, 5.1389 Å; angles 130.24, 130.24, 73.03 degrees
With the nearest neighbours (Å) after each atom.
Atoms (fractional coordinates):
Be: 0.0000 0.0000 0.0000  8 W 2.99, 10 P 3.07-3.24
P: 0.3718 0.3718 0.0000  1 P 2.12
P: 0.6282 0.6282 0.0000  1 P 2.12
W: 0.2500 0.7500 0.5000  4 P 2.38
W: 0.7500 0.2500 0.5000  4 P 2.38

DFT (PBE) results for an optimized crystal structure of ZnOsO3.

Computed properties:
Density (g cm⁻³): 8.7
Crystal system: cubic
Formation energy without anion corrections (eV/atom): -0.528
Magnetic moment (μB per formula unit): 0.0
Raw total energy (eV/atom): -6.00

Cell lengths 3.8639, 3.8639, 3.8639 Å; angles 90.00, 90.00, 90.00 degrees
With the nearest neighbours (Å) after each atom.
Atoms (fractional coordinates):
Zn: 0.0000 0.0000 0.0000  12 O 2.73
Os: 0.5000 0.5000 0.5000  6 O 1.93
O: 0.0000 0.5000 0.5000  2 Os 1.93
O: 0.5000 0.0000 0.5000  2 Os 1.93
O: 0.5000 0.5000 0.0000  2 Os 1.93

Question: What is the density in the third record?
Answer: 7.4 g cm⁻³